Compound: LiPdWO2
Source: Alexandria via LeMat-Bulk
Functional: GGA+U
Structure: optimized geometry

Cell: 3.8317 5.8048 3.8317 Å, 90.00 90.00 90.00°
With the nearest neighbours (Å) after each atom.
Element x y z (fractional)
1 Li 0.0000 0.5000 0.0000  4 Pd 2.71, 2 W 2.90
2 O 0.0000 0.0000 0.5000  2 W 1.92
3 O 0.5000 0.0000 0.0000  2 W 1.92
4 Pd 0.5000 0.5000 0.5000  4 Li 2.71
5 W 0.0000 0.0000 0.0000  4 O 1.92

Output
- theoretical density (g/cm3) = 6.41
- VASP energy (eV per atom) = -5.44